The following is a GGA-PBE calculation of a relaxed structure of TlRh2Cl, from the Alexandria database.

Results
* spin magnetization: 0.001 μB/f.u.
* energy relative to the elements, uncorrected: 0.336 eV per atom
* E above lowest polymorph: 0.79 eV per formula unit
* total energy: -4.39 eV/atom

CIF file:
```
data_TlRh2Cl
_chemical_formula_sum 'Tl1 Rh2 Cl1'
_cell_length_a 4.4917
_cell_length_b 3.0258
_cell_length_c 5.2537
_cell_angle_alpha 90.00
_cell_angle_beta 90.28
_cell_angle_gamma 90.00
_space_group_name_H-M_alt 'P 1 2/m 1'
_space_group_IT_number 10
loop_
_space_group_symop_operation_xyz
'x,y,z'
'-x,-y,-z'
'-x,y,-z'
'x,-y,z'
loop_
_atom_site_label
_atom_site_type_symbol
_atom_site_fract_x
_atom_site_fract_y
_atom_site_fract_z
Tl1 Tl 0.0000 0.0000 0.0000
Rh1 Rh 0.5000 0.0000 0.5000
Rh2 Rh 0.5000 0.5000 0.0000
Cl1 Cl 0.0000 0.5000 0.5000
```